SrGd3Mn | PBE | relaxed

Cell: 5.442 5.442 5.442 Å, 90.00 90.00 90.00°
Atoms (fractional coordinates):
Sr: 0.500 0.500 0.500
Gd: 0.000 0.500 0.000
Gd: 0.000 0.000 0.500
Gd: 0.500 0.000 0.000
Mn: 0.000 0.000 0.000

Results
As for the energy relative to the elements: 0.15 eV/atom. As for the symmetry: Pm-3m (221). The density of states at the Fermi level is 1.139 states/eV/atom.